[1]
Computed, not measured: a relaxed CsAcSn2Cl8 crystal at the PBE level of DFT.

ΔE_f (raw) = -1.63 eV/atom
Crystal system = triclinic

Geometry as CIF:
```
data_CsAcSn2Cl8
_chemical_formula_sum 'Cs1 Ac1 Sn2 Cl8'
_cell_length_a 6.6241
_cell_length_b 7.1018
_cell_length_c 9.8336
_cell_angle_alpha 84.85
_cell_angle_beta 86.25
_cell_angle_gamma 87.41
_space_group_name_H-M_alt 'P -1'
_space_group_IT_number 2
loop_
_space_group_symop_operation_xyz
'x,y,z'
'-x,-y,-z'
loop_
_atom_site_label
_atom_site_fract_x
_atom_site_fract_y
_atom_site_fract_z
Cs1 0.0000 0.0000 0.0000
Ac1 0.0000 0.0000 0.5000
Sn1 0.4889 0.4861 0.2514
Cl1 0.2300 0.8169 0.2877
Cl2 0.2555 0.3321 0.4590
Cl3 0.2656 0.8564 0.7104
Cl4 0.2747 0.3805 0.0721
```


[2]
Computed, not measured: a relaxed Cs2AcSnCl6 crystal at the PBE level of DFT.

ΔE_f (raw) = -1.77 eV/atom
Crystal system = orthorhombic

Geometry as CIF:
```
data_Cs2AcSnCl6
_chemical_formula_sum 'Cs4 Ac2 Sn2 Cl12'
_cell_length_a 7.9235
_cell_length_b 13.6292
_cell_length_c 8.3146
_cell_angle_alpha 90.00
_cell_angle_beta 90.00
_cell_angle_gamma 90.00
_space_group_name_H-M_alt 'P m m n'
_space_group_IT_number 59
loop_
_space_group_symop_operation_xyz
'x,y,z'
'-x,-y,-z'
'-x+1/2,-y+1/2,z'
'x+1/2,y+1/2,-z'
'x+1/2,-y,-z'
'-x+1/2,y,z'
'-x,y+1/2,-z'
'x,-y+1/2,z'
loop_
_atom_site_label
_atom_site_fract_x
_atom_site_fract_y
_atom_site_fract_z
Cs1 0.2500 0.0556 0.2278
Ac1 0.2500 0.2500 0.7598
Sn1 0.2500 0.7500 0.7375
Cl1 0.0100 0.2500 0.0217
Cl2 0.0157 0.2500 0.4960
Cl3 0.2500 0.0416 0.7914
```


[3]
Computed, not measured: a relaxed CsAcSnCl6 crystal at the PBE level of DFT.

ΔE_f (raw) = -1.82 eV/atom
Crystal system = orthorhombic

Geometry as CIF:
```
data_CsAcSnCl6
_chemical_formula_sum 'Cs4 Ac4 Sn4 Cl24'
_cell_length_a 10.3279
_cell_length_b 10.6749
_cell_length_c 15.1224
_cell_angle_alpha 90.00
_cell_angle_beta 90.00
_cell_angle_gamma 90.00
_space_group_name_H-M_alt 'I m m a'
_space_group_IT_number 74
_space_group_name_Hall '-I 2b 2'
loop_
_atom_site_label
_atom_site_fract_x
_atom_site_fract_y
_atom_site_fract_z
Cs1 0.0000 0.2500 0.0348
Ac1 0.0000 0.0000 0.5000
Sn1 0.2500 0.2500 0.7500
Cl1 0.0000 0.2500 0.4228
Cl2 0.0000 0.2500 0.8141
Cl3 0.2136 0.0610 0.6151
```


[4]
Computed, not measured: a relaxed CsAcTeCl2 crystal at the PBE level of DFT.

ΔE_f (raw) = -1.92 eV/atom
Crystal system = tetragonal

Geometry as CIF:
```
data_CsAcTeCl2
_chemical_formula_sum 'Cs1 Ac1 Te1 Cl2'
_cell_length_a 5.8353
_cell_length_b 5.8353
_cell_length_c 6.4485
_cell_angle_alpha 90.00
_cell_angle_beta 90.00
_cell_angle_gamma 90.00
_space_group_name_H-M_alt 'P 4 m m'
_space_group_IT_number 99
loop_
_space_group_symop_operation_xyz
'x,y,z'
'-y,x,z'
'-x,-y,z'
'y,-x,z'
'-x,y,z'
'y,x,z'
'x,-y,z'
'-y,-x,z'
loop_
_atom_site_label
_atom_site_fract_x
_atom_site_fract_y
_atom_site_fract_z
Cs1 0.0000 0.0000 0.0000
Ac1 0.5000 0.5000 0.4890
Te1 0.5000 0.5000 0.9884
Cl1 0.0000 0.5000 0.4847
```


[5]
Computed, not measured: a relaxed Cs2AcTe2Cl2 crystal at the PBE level of DFT.

ΔE_f (raw) = -1.53 eV/atom
Crystal system = tetragonal

Geometry as CIF:
```
data_Cs2AcTe2Cl2
_chemical_formula_sum 'Cs4 Ac2 Te4 Cl4'
_cell_length_a 6.4442
_cell_length_b 6.4442
_cell_length_c 17.7358
_cell_angle_alpha 90.00
_cell_angle_beta 90.00
_cell_angle_gamma 90.00
_space_group_name_H-M_alt 'I 4/m m m'
_space_group_IT_number 139
_space_group_name_Hall '-I 4 2'
loop_
_atom_site_label
_atom_site_fract_x
_atom_site_fract_y
_atom_site_fract_z
Cs1 0.0000 0.0000 0.1466
Ac1 0.0000 0.0000 0.5000
Te1 0.0000 0.5000 0.0000
Cl1 0.0000 0.0000 0.3370
```


[6]
Computed, not measured: a relaxed Cs2AcTlCl6 crystal at the PBE level of DFT.

ΔE_f (raw) = -2.01 eV/atom
Crystal system = monoclinic

Geometry as CIF:
```
data_Cs2AcTlCl6
_chemical_formula_sum 'Cs4 Ac2 Tl2 Cl12'
_cell_length_a 8.1347
_cell_length_b 8.5351
_cell_length_c 14.1040
_cell_angle_alpha 90.00
_cell_angle_beta 124.35
_cell_angle_gamma 90.00
_space_group_name_H-M_alt 'P 1 21/c 1'
_space_group_IT_number 14
loop_
_space_group_symop_operation_xyz
'x,y,z'
'-x,-y,-z'
'-x,y+1/2,-z+1/2'
'x,-y+1/2,z+1/2'
loop_
_atom_site_label
_atom_site_fract_x
_atom_site_fract_y
_atom_site_fract_z
Cs1 0.2258 0.0639 0.2481
Ac1 0.5000 0.0000 0.0000
Tl1 0.0000 0.0000 0.5000
Cl1 0.1659 0.1886 0.9508
Cl2 0.2577 0.7216 0.9417
Cl3 0.3681 0.0392 0.7640
```


[7]
Computed, not measured: a relaxed CsAcZnCl6 crystal at the PBE level of DFT.

ΔE_f (raw) = -1.87 eV/atom
Crystal system = trigonal

Geometry as CIF:
```
data_CsAcZnCl6
_chemical_formula_sum 'Cs2 Ac2 Zn2 Cl12'
_cell_length_a 7.1224
_cell_length_b 7.1224
_cell_length_c 15.2230
_cell_angle_alpha 90.00
_cell_angle_beta 90.00
_cell_angle_gamma 120.00
_space_group_name_H-M_alt 'P -3 1 c'
_space_group_IT_number 163
_space_group_name_Hall '-P 3 2c'
loop_
_atom_site_label
_atom_site_fract_x
_atom_site_fract_y
_atom_site_fract_z
Cs1 0.0000 0.0000 0.0000
Ac1 0.3333 0.6667 0.2500
Zn1 0.3333 0.6667 0.7500
Cl1 0.0400 0.3941 0.6512
```


[8]
Computed, not measured: a relaxed Ac2Cu2Cl crystal at the PBE level of DFT.

ΔE_f (raw) = -0.75 eV/atom
Crystal system = trigonal

Geometry as CIF:
```
data_Ac2Cu2Cl
_chemical_formula_sum 'Ac6 Cu6 Cl3'
_cell_length_a 4.3536
_cell_length_b 4.3536
_cell_length_c 25.2136
_cell_angle_alpha 90.00
_cell_angle_beta 90.00
_cell_angle_gamma 120.00
_space_group_name_H-M_alt 'R -3 m'
_space_group_IT_number 166
_space_group_name_Hall '-R 3 2"'
loop_
_atom_site_label
_atom_site_fract_x
_atom_site_fract_y
_atom_site_fract_z
Ac1 0.0000 0.0000 0.0763
Cu1 0.0000 0.0000 0.3329
Cl1 0.0000 0.0000 0.5000
```


Among the records above, which one has the highest ΔE_f (raw)?
Ac2Cu2Cl


Copy entry 2 word for word.
Computed, not measured: a relaxed Cs2AcSnCl6 crystal at the PBE level of DFT.

ΔE_f (raw) = -1.77 eV/atom
Crystal system = orthorhombic

Geometry as CIF:
```
data_Cs2AcSnCl6
_chemical_formula_sum 'Cs4 Ac2 Sn2 Cl12'
_cell_length_a 7.9235
_cell_length_b 13.6292
_cell_length_c 8.3146
_cell_angle_alpha 90.00
_cell_angle_beta 90.00
_cell_angle_gamma 90.00
_space_group_name_H-M_alt 'P m m n'
_space_group_IT_number 59
loop_
_space_group_symop_operation_xyz
'x,y,z'
'-x,-y,-z'
'-x+1/2,-y+1/2,z'
'x+1/2,y+1/2,-z'
'x+1/2,-y,-z'
'-x+1/2,y,z'
'-x,y+1/2,-z'
'x,-y+1/2,z'
loop_
_atom_site_label
_atom_site_fract_x
_atom_site_fract_y
_atom_site_fract_z
Cs1 0.2500 0.0556 0.2278
Ac1 0.2500 0.2500 0.7598
Sn1 0.2500 0.7500 0.7375
Cl1 0.0100 0.2500 0.0217
Cl2 0.0157 0.2500 0.4960
Cl3 0.2500 0.0416 0.7914
```